Record 1
Compound: CaYCd
Source: the Alexandria database
Functional: GGA-PBE
Structure: relaxed

```
CaYCd
1.0
5.4637 -0.0012 0.0000
-2.7318 4.7317 0.0000
0.0000 0.0000 6.8738
Ca Y Cd
2 2 2
direct
0.0000 0.5000 0.5000 Ca
0.0000 0.5000 0.0000 Ca
0.6668 0.8332 0.2500 Y
0.3332 0.1668 0.7500 Y
0.3334 0.1666 0.2500 Cd
0.6666 0.8334 0.7500 Cd
```

Results
Relative energy among the computed polymorphs in meV per atom: 9
Spin magnetization in μB/atom: 0.000
N(E_F) in states/eV per atom: 1.452
DFT formation energy in meV/atom: -174
SG: P6_3/mmc (194)


Record 2
Compound: LiAl2InN
Source: the Alexandria database
Functional: GGA-PBE
Structure: relaxed

```
LiAl2InN
1.0
-1.1898 -1.5987 3.5323
-2.5926 -2.4193 -1.9683
3.1193 -3.0678 -0.3378
In Al N Li
1 2 1 1
direct
0.5000 0.5000 0.5000 In
0.5000 0.0000 0.0000 Al
0.0000 0.5000 0.0000 Al
0.0000 0.0000 0.0000 N
0.0000 0.0000 0.5000 Li
```

Results
Spin magnetization in μB/atom: 0.000
Formation energy without anion corrections in eV/atom: -0.19
N(E_F) in states/eV per atom: 0.230
SG: P4/mmm (123)


Record 3
Compound: CdFe2Ni
Source: the Alexandria database
Functional: GGA-PBE
Structure: relaxed

```
CdFe2Ni
1.0
-0.8132 4.4291 -0.5607
-2.5622 3.5085 1.3109
2.7186 1.9043 3.4772
Ni Fe Cd
1 2 1
direct
0.4870 0.4870 0.5326 Ni
0.0130 0.0130 0.9611 Fe
0.7526 0.7526 0.7505 Fe
0.2474 0.2474 0.2558 Cd
```

Results
Spin magnetization in μB/atom: 1.457
N(E_F) in states/eV per atom: 0.715
DFT formation energy in meV/atom: 235
SG: Cm (8)